# Dy4HoRh5, relaxed, DFT PBE
# Theoretical density (g cm⁻³): 11.01
# Volume (Å³ per cell): 200
# Crystal system: tetragonal
# Formation enthalpy at 0 K (meV per atom): -874.8
# Fermi-level density of states (states/eV/cell): 6.57
# Symmetry: P4/mmm (123)
data_Dy4HoRh5
_symmetry_space_group_name_H-M 'P 1'
_symmetry_Int_Tables_number 1
_cell_length_a 3.3948
_cell_length_b 3.3948
_cell_length_c 17.3911
_cell_angle_alpha 90.00
_cell_angle_beta 90.00
_cell_angle_gamma 90.00
loop_
_symmetry_equiv_pos_as_xyz
'x,y,z'
loop_
_atom_site_label
_atom_site_type_symbol
_atom_site_fract_x
_atom_site_fract_y
_atom_site_fract_z
Dy1 Dy 0.0000 0.0000 0.1002
Dy2 Dy 0.0000 0.0000 0.3004
Dy3 Dy 0.0000 0.0000 0.6996
Dy4 Dy 0.0000 0.0000 0.8998
Ho1 Ho 0.0000 0.0000 0.5000
Rh1 Rh 0.5000 0.5000 0.0000
Rh2 Rh 0.5000 0.5000 0.2004
Rh3 Rh 0.5000 0.5000 0.4008
Rh4 Rh 0.5000 0.5000 0.5992
Rh5 Rh 0.5000 0.5000 0.7996


# Ru3Pt5, relaxed, DFT PBE
# Theoretical density (g cm⁻³): 17.70
# Volume (Å³ per cell): 120
# Crystal system: tetragonal
# Distance to the lowest polymorph of the same formula (meV per atom): 0
# Formation enthalpy at 0 K (meV per atom): 29.7
# Fermi-level density of states (states/eV/cell): 15.57
# Symmetry: P4/mmm (123)
data_Ru3Pt5
_symmetry_space_group_name_H-M 'P 1'
_symmetry_Int_Tables_number 1
_cell_length_a 2.7603
_cell_length_b 2.7603
_cell_length_c 15.7432
_cell_angle_alpha 90.00
_cell_angle_beta 90.00
_cell_angle_gamma 90.00
loop_
_symmetry_equiv_pos_as_xyz
'x,y,z'
loop_
_atom_site_label
_atom_site_type_symbol
_atom_site_fract_x
_atom_site_fract_y
_atom_site_fract_z
Ru1 Ru 0.0000 0.0000 0.0000
Ru2 Ru 0.5000 0.5000 0.3758
Ru3 Ru 0.5000 0.5000 0.6242
Pt1 Pt 0.0000 0.0000 0.2552
Pt2 Pt 0.0000 0.0000 0.5000
Pt3 Pt 0.0000 0.0000 0.7448
Pt4 Pt 0.5000 0.5000 0.1208
Pt5 Pt 0.5000 0.5000 0.8792